! CaPdAu2 | the Alexandria database | PBE | optimized geometry; values from VASP
&SYSTEM
  ibrav = 0, nat = 8, ntyp = 3
/
ATOMIC_SPECIES
Ca 40.08 Ca.upf
Pd 106.42 Pd.upf
Au 196.97 Au.upf
ATOMIC_POSITIONS crystal
Ca 0.0000 0.0000 0.0000
Ca 0.7500 0.2500 0.5000
Pd 0.2500 0.7500 0.5000
Pd 0.5000 0.5000 0.0000
Au 0.1392 0.6250 0.0142
Au 0.3750 0.3892 0.5142
Au 0.6108 0.1250 0.9858
Au 0.8750 0.8608 0.4858
CELL_PARAMETERS angstrom
-2.0225 2.0225 10.1596
2.0225 -2.0225 10.1596
2.0225 2.0225 -10.1596
! Calculated volume: 20.78 A^3/atom
! D(E_F): 2.60 states/eV/cell

***

! Ca2Pd3Au2 | the Alexandria database | PBE | optimized geometry; values from VASP
&SYSTEM
  ibrav = 0, nat = 7, ntyp = 3
/
ATOMIC_SPECIES
Ca 40.08 Ca.upf
Pd 106.42 Pd.upf
Au 196.97 Au.upf
ATOMIC_POSITIONS crystal
Ca 0.2018 0.2018 0.2803
Ca 0.7982 0.7982 0.7197
Pd 0.4849 0.4849 0.6506
Pd 0.5000 0.5000 0.0000
Pd 0.5151 0.5151 0.3494
Au 0.1513 0.1513 0.8894
Au 0.8487 0.8487 0.1106
CELL_PARAMETERS angstrom
4.9708 -1.9968 0.0000
4.9708 1.9968 0.0000
-4.0075 0.0000 7.4314
! Calculated volume: 21.08 A^3/atom
! D(E_F): 1.44 states/eV/cell

***

! CaPdAu3 | the Alexandria database | PBE | optimized geometry; values from VASP
&SYSTEM
  ibrav = 0, nat = 10, ntyp = 3
/
ATOMIC_SPECIES
Ca 40.08 Ca.upf
Pd 106.42 Pd.upf
Au 196.97 Au.upf
ATOMIC_POSITIONS crystal
Ca 0.0928 0.9072 0.7500
Ca 0.9072 0.0928 0.2500
Pd 0.5000 0.5000 0.0000
Pd 0.5000 0.5000 0.5000
Au 0.1032 0.3914 0.7500
Au 0.3207 0.6793 0.2500
Au 0.3914 0.1032 0.2500
Au 0.6086 0.8968 0.7500
Au 0.6793 0.3207 0.7500
Au 0.8968 0.6086 0.2500
CELL_PARAMETERS angstrom
2.7883 -6.8021 0.0000
2.7883 6.8021 0.0000
0.0000 0.0000 5.4639
! Calculated volume: 20.73 A^3/atom
! D(E_F): 3.81 states/eV/cell

***

! CaPd8Au3 | the Alexandria database | PBE | optimized geometry; values from VASP
&SYSTEM
  ibrav = 0, nat = 12, ntyp = 3
/
ATOMIC_SPECIES
Ca 40.08 Ca.upf
Pd 106.42 Pd.upf
Au 196.97 Au.upf
ATOMIC_POSITIONS crystal
Ca 0.0000 0.0000 0.0000
Pd 0.1643 0.3285 0.6827
Pd 0.1643 0.8357 0.6827
Pd 0.3333 0.6667 0.4332
Pd 0.3333 0.6667 0.9342
Pd 0.5032 0.0063 0.1878
Pd 0.5032 0.4968 0.1878
Pd 0.6715 0.8357 0.6827
Pd 0.9937 0.4968 0.1878
Au 0.0000 0.0000 0.3844
Au 0.6667 0.3333 0.4987
Au 0.6667 0.3333 0.8669
CELL_PARAMETERS angstrom
5.2690 0.0000 0.0000
-2.6345 4.5631 0.0000
0.0000 0.0000 8.6969
! Calculated volume: 17.42 A^3/atom
! D(E_F): 12.45 states/eV/cell

***

! CaPd2Au2 | the Alexandria database | PBE | optimized geometry; values from VASP
&SYSTEM
  ibrav = 0, nat = 10, ntyp = 3
/
ATOMIC_SPECIES
Ca 40.08 Ca.upf
Pd 106.42 Pd.upf
Au 196.97 Au.upf
ATOMIC_POSITIONS crystal
Ca 0.1237 0.1237 0.0000
Ca 0.8763 0.8763 0.0000
Pd 0.2500 0.7500 0.5000
Pd 0.4250 0.4250 0.0000
Pd 0.5750 0.5750 0.0000
Pd 0.7500 0.2500 0.5000
Au 0.0000 0.5000 0.5000
Au 0.3243 0.3243 0.0000
Au 0.5000 0.0000 0.5000
Au 0.6757 0.6757 0.0000
CELL_PARAMETERS angstrom
-1.9873 1.9873 12.9965
1.9873 -1.9873 12.9965
1.9873 1.9873 -12.9965
! Calculated volume: 20.53 A^3/atom
! D(E_F): 3.88 states/eV/cell

***

! Ca4PdAu3 | the Alexandria database | PBE | optimized geometry; values from VASP
&SYSTEM
  ibrav = 0, nat = 8, ntyp = 3
/
ATOMIC_SPECIES
Ca 40.08 Ca.upf
Pd 106.42 Pd.upf
Au 196.97 Au.upf
ATOMIC_POSITIONS crystal
Ca 0.0000 0.0000 0.0000
Ca 0.0000 0.5000 0.2724
Ca 0.5000 0.0000 0.4886
Ca 0.5000 0.5000 0.7754
Pd 0.5000 0.0000 0.2133
Au 0.0000 0.0000 0.7159
Au 0.0000 0.5000 0.5530
Au 0.5000 0.5000 0.0557
CELL_PARAMETERS angstrom
3.9980 0.0000 0.0000
0.0000 4.5882 0.0000
0.0000 0.0000 11.0166
! Calculated volume: 25.26 A^3/atom
! D(E_F): 4.31 states/eV/cell

***

Going through the records in order, we get energy of formation values of -34; -48; -47; -13; -38; -75 kJ per mole of atoms.